# CsRbCd2Os, optimized geometry, DFT PBE-GGA
# - Uncorrected energy: -2.3734 eV/atom
# - DFT formation energy: 0.603 eV/atom
data_CsRbCd2Os
_symmetry_space_group_name_H-M 'P 4/m m m'
_symmetry_Int_Tables_number 123
_symmetry_space_group_name_Hall '-P 4 2'
_cell_length_a 5.444
_cell_length_b 5.444
_cell_length_c 5.793
_cell_angle_alpha 90.00
_cell_angle_beta 90.00
_cell_angle_gamma 90.00
loop_
_atom_site_label
_atom_site_fract_x
_atom_site_fract_y
_atom_site_fract_z
Cs1 0.000 0.000 0.000
Rb1 0.500 0.500 0.000
Cd1 0.000 0.500 0.500
Os1 0.000 0.000 0.500